Entry 1:
Compound: ScMn2Mo
Source: Alexandria
Functional: GGA-PBE
Structure: relaxed

Cell and atoms, written as POSCAR:
```
ScMn2Mo
1.0
4.318 0.000 0.000
0.000 4.318 0.000
0.000 0.000 3.029
Sc Mn Mo
1 2 1
direct
0.000 0.000 0.000 Sc
0.000 0.500 0.500 Mn
0.500 0.000 0.500 Mn
0.500 0.500 0.000 Mo
```

Calculated values
Symmetry = P4/mmm
Fermi-level density of states = 3.7 states/eV/f.u.
Total magnetic moment = 0.158 μB/atom
Calculated formation energy = 0.0823 eV/atom
Density = 7.37 g/cm³



Entry 2:
Compound: Al2Hg2Ge
Source: Alexandria
Functional: GGA-PBE
Structure: relaxed

Cell and atoms, written as POSCAR:
```
Al2Hg2Ge
1.0
6.777 0.000 0.000
0.000 6.777 0.000
0.000 0.000 4.715
Al Hg Ge
4 4 2
direct
0.139 0.361 0.000 Al
0.361 0.861 0.000 Al
0.639 0.139 0.000 Al
0.861 0.639 0.000 Al
0.180 0.680 0.500 Hg
0.320 0.180 0.500 Hg
0.680 0.820 0.500 Hg
0.820 0.320 0.500 Hg
0.000 0.000 0.000 Ge
0.500 0.500 0.000 Ge
```

Calculated values
Symmetry = P4/mbm
Fermi-level density of states = 3.0 states/eV/f.u.
Total magnetic moment = 0.000 μB/atom
Calculated formation energy = 0.1911 eV/atom
Density = 8.09 g/cm³
Polymorph energy (0 for the lowest one) = 0.0 meV/atom



Entry 3:
Compound: Gd3ReO7
Source: Alexandria
Functional: GGA-PBE
Structure: relaxed

Cell and atoms, written as POSCAR:
```
Gd3ReO7
1.0
5.378 -3.751 0.000
5.378 3.751 0.000
0.000 0.000 7.504
Gd Re O
6 2 14
direct
0.000 0.000 0.000 Gd
0.000 0.000 0.500 Gd
0.051 0.481 0.750 Gd
0.481 0.051 0.250 Gd
0.519 0.949 0.750 Gd
0.949 0.519 0.250 Gd
0.500 0.500 0.000 Re
0.500 0.500 0.500 Re
0.113 0.153 0.250 O
0.153 0.113 0.750 O
0.180 0.568 0.027 O
0.180 0.568 0.473 O
0.432 0.820 0.027 O
0.432 0.820 0.473 O
0.455 0.545 0.750 O
0.545 0.455 0.250 O
0.568 0.180 0.527 O
0.568 0.180 0.973 O
0.820 0.432 0.527 O
0.820 0.432 0.973 O
0.847 0.887 0.250 O
0.887 0.847 0.750 O
```

Calculated values
Symmetry = Cmcm
E_form (uncorrected) = -2.854 eV/atom
Fermi-level density of states = 3.5 states/eV/f.u.
Total magnetic moment = 1.759 μB/atom
Density = 8.44 g/cm³